Entry from the Alexandria database: crystalline CaSn3Pt at its relaxed geometry (PBE).

The structure belongs to space group Pm-3m (No. 221); the cell edges are 5.5929, 5.5929 and 5.5929 Å and the angles 90.00°, 90.00° and 90.00°. The asymmetric unit holds Ca at (0.0000, 0.0000, 0.0000), Sn at (0.0000, 0.0000, 0.5000) and Pt at (0.5000, 0.5000, 0.5000).

As for the density of states at the Fermi level: 2.76 states/eV/cell. For the final energy, the calculation gives -2.844 eV/atom.